Below is a geometry-optimized RbIn2Ir structure, with properties calculated at the PBE level.

Cell: 7.3772 7.3772 7.3772 Å, 35.93 35.93 35.93°
Element x y z (fractional)
1 Rb 0.0000 0.0000 0.0000
2 In 0.2053 0.2053 0.2053
3 In 0.7947 0.7947 0.7947
4 Ir 0.5000 0.5000 0.5000

Properties
**Size of the total moment**: 0.0 μB/f.u.
**E_form**: -0.0134 eV/atom
**Crystal system**: trigonal
**Relative energy among the computed polymorphs**: 0.000 eV per atom
**Total DFT energy (no corrections)**: -3.840 eV/atom